1.
The following is a DFT calculation (PBE) of an optimized crystal structure of AcMg2Au.

a = 17.083 Å, b = 8.313 Å, c = 5.977 Å
α = 90.00°, β = 90.00°, γ = 90.00°
Space group Pnma (No. 62)
Unique sites:
1 Ac 0.105 0.250 0.237
2 Ac 0.137 0.750 0.044
3 Mg 0.040 0.057 0.732
4 Mg 0.213 0.557 0.542
5 Au 0.069 0.750 0.536
6 Au 0.183 0.250 0.746

Output
- D(E_F): 2.4 states/eV/f.u.
- E_form: -47.0 kJ per mole of atoms
- Magnetization: 0.00 μB per cell
- Distance to the lowest polymorph of the same formula: 21.2 meV per atom


2.
The following is a DFT calculation (PBE) of an optimized crystal structure of OsSCl2.

a = 2.8441 Å, b = 2.8441 Å, c = 36.2782 Å
α = 90.00°, β = 90.00°, γ = 120.00°
Space group R-3m (No. 166, hexagonal axes)
Unique sites:
1 Os 0.0000 0.0000 0.0000
2 S 0.0000 0.0000 0.5000
3 Cl 0.0000 0.0000 0.0611

Output
- Formation energy (no corrections): 511 meV/atom
- D(E_F): 3.5 states/eV/f.u.
- Magnetization: 0.75 μB per cell
- Distance to the lowest polymorph of the same formula: 311.4 meV per atom


3.
The following is a DFT calculation (PBE) of an optimized crystal structure of Ce2SiC.

a = 4.4204 Å, b = 4.4204 Å, c = 21.9328 Å
α = 90.00°, β = 90.00°, γ = 120.00°
Space group R-3m (No. 166, hexagonal axes)
Unique sites:
1 Ce 0.0000 0.0000 0.0935
2 Si 0.0000 0.0000 0.5000
3 C 0.0000 0.0000 0.0000

Output
- Formation energy (no corrections): 455 meV/atom
- D(E_F): 3.7 states/eV/f.u.
- Magnetization: 0.62 μB per cell
- Distance to the lowest polymorph of the same formula: 570.5 meV per atom


4.
The following is a DFT calculation (PBE) of an optimized crystal structure of AlSiPb2.

a = 6.999 Å, b = 4.046 Å, c = 7.739 Å
α = 90.00°, β = 107.71°, γ = 90.00°
Space group Cm (No. 8)
Unique sites:
1 Al 0.000 0.000 0.000
2 Si 0.203 0.500 0.110
3 Pb 0.241 0.000 0.718
4 Pb 0.459 0.000 0.373

Output
- Formation energy (no corrections): 212 meV/atom
- D(E_F): 2.0 states/eV/f.u.
- Magnetization: 0.00 μB per cell